[1]
## ErPa5N6 (PBE)

Data for ErPa5N6 after structural relaxation.

abc: 6.0404 6.0404 6.0393
angles: 99.58 99.58 119.98
Atoms (fractional coordinates):
Er1 0.0000 0.0000 0.0000
Pa1 0.1654 0.8346 0.5000
Pa2 0.3332 0.6668 0.0000
Pa3 0.5000 0.5000 0.5000
Pa4 0.6668 0.3332 0.0000
Pa5 0.8346 0.1654 0.5000
N1 0.0821 0.4136 0.2465
N2 0.2491 0.2491 0.7524
N3 0.4136 0.0821 0.2465
N4 0.5864 0.9179 0.7535
N5 0.7509 0.7509 0.2476
N6 0.9179 0.5864 0.7535

Output
Its total magnetic moment is 0.00 μB per atom. Its space-group type is No. 12. As for the calculated volume: 15.00 A^3/atom. For the formation energy without anion corrections, the calculation gives -1.65 eV per atom.


[2]
## Pm3ErPa2N6 (PBE)

Data for Pm3ErPa2N6 after structural relaxation.

abc: 6.1181 6.1181 6.1644
angles: 99.50 99.50 120.03
Atoms (fractional coordinates):
Pm1 0.0000 0.0000 0.0000
Pm2 0.3343 0.6657 0.0000
Pm3 0.6657 0.3343 0.0000
Er1 0.5000 0.5000 0.5000
Pa1 0.1667 0.8333 0.5000
Pa2 0.8333 0.1667 0.5000
N1 0.0834 0.4264 0.2800
N2 0.2311 0.2311 0.7208
N3 0.4264 0.0834 0.2800
N4 0.5736 0.9166 0.7200
N5 0.7689 0.7689 0.2792
N6 0.9166 0.5736 0.7200

Output
Its total magnetic moment is 0.00 μB per atom. Its space-group type is No. 12. As for the calculated volume: 15.71 A^3/atom. For the formation energy without anion corrections, the calculation gives -1.63 eV per atom.


[3]
## Pm4ErPa3N8 (PBE)

Data for Pm4ErPa3N8 after structural relaxation.

abc: 7.1076 7.1076 7.1076
angles: 59.69 59.69 59.69
Atoms (fractional coordinates):
Pm1 0.0000 0.0000 0.0000
Pm2 0.0000 0.5000 0.5000
Pm3 0.5000 0.0000 0.5000
Pm4 0.5000 0.5000 0.0000
Er1 0.5000 0.5000 0.5000
Pa1 0.0000 0.0000 0.5000
Pa2 0.0000 0.5000 0.0000
Pa3 0.5000 0.0000 0.0000
N1 0.2315 0.7437 0.7437
N2 0.2396 0.2396 0.2396
N3 0.2563 0.2563 0.7685
N4 0.2563 0.7685 0.2563
N5 0.7437 0.2315 0.7437
N6 0.7437 0.7437 0.2315
N7 0.7604 0.7604 0.7604
N8 0.7685 0.2563 0.2563

Output
Its total magnetic moment is 0.00 μB per atom. Its space-group type is No. 166. As for the calculated volume: 15.76 A^3/atom. For the formation energy without anion corrections, the calculation gives -1.62 eV per atom.


[4]
## Pm2ErPaN4 (PBE)

Data for Pm2ErPaN4 after structural relaxation.

abc: 6.0643 3.5444 6.1493
angles: 90.00 109.08 90.00
Atoms (fractional coordinates):
Pm1 0.0000 0.0000 0.0000
Pm2 0.5000 0.5000 0.0000
Er1 0.0000 0.5000 0.5000
Pa1 0.5000 0.0000 0.5000
N1 0.2536 0.0000 0.7251
N2 0.2648 0.5000 0.2771
N3 0.7352 0.5000 0.7229
N4 0.7464 0.0000 0.2749

Output
Its total magnetic moment is 0.00 μB per atom. Its space-group type is No. 10. As for the calculated volume: 15.61 A^3/atom. For the formation energy without anion corrections, the calculation gives -1.62 eV per atom.


[5]
## Pm3Er2PaN6 (PBE)

Data for Pm3Er2PaN6 after structural relaxation.

abc: 6.0904 6.0904 6.1439
angles: 99.49 99.49 120.00
Atoms (fractional coordinates):
Pm1 0.0000 0.0000 0.0000
Pm2 0.3314 0.6686 0.0000
Pm3 0.6686 0.3314 0.0000
Er1 0.1662 0.8338 0.5000
Er2 0.8338 0.1662 0.5000
Pa1 0.5000 0.5000 0.5000
N1 0.1013 0.4236 0.2706
N2 0.2542 0.2542 0.7283
N3 0.4236 0.1013 0.2706
N4 0.5764 0.8987 0.7294
N5 0.7458 0.7458 0.2717
N6 0.8987 0.5764 0.7294

Output
Its total magnetic moment is 0.00 μB per atom. Its space-group type is No. 12. As for the calculated volume: 15.53 A^3/atom. For the formation energy without anion corrections, the calculation gives -1.64 eV per atom.


[6]
## Pr2ErPaN4 (PBE)

Data for Pr2ErPaN4 after structural relaxation.

abc: 6.0986 3.5715 6.2499
angles: 90.00 108.94 90.00
Atoms (fractional coordinates):
Pr1 0.0000 0.0000 0.0000
Pr2 0.5000 0.5000 0.0000
Er1 0.0000 0.5000 0.5000
Pa1 0.5000 0.0000 0.5000
N1 0.2523 0.0000 0.7179
N2 0.2688 0.5000 0.2860
N3 0.7312 0.5000 0.7140
N4 0.7477 0.0000 0.2821

Output
Its total magnetic moment is 0.00 μB per atom. Its space-group type is No. 10. As for the calculated volume: 16.10 A^3/atom. For the formation energy without anion corrections, the calculation gives -1.56 eV per atom.


[7]
## Pr3ErPa2N6 (PBE)

Data for Pr3ErPa2N6 after structural relaxation.

abc: 6.1568 6.1568 6.2637
angles: 99.41 99.41 120.03
Atoms (fractional coordinates):
Pr1 0.0000 0.0000 0.0000
Pr2 0.3344 0.6656 0.0000
Pr3 0.6656 0.3344 0.0000
Er1 0.5000 0.5000 0.5000
Pa1 0.1667 0.8333 0.5000
Pa2 0.8333 0.1667 0.5000
N1 0.0856 0.4294 0.2888
N2 0.2268 0.2268 0.7111
N3 0.4294 0.0856 0.2888
N4 0.5706 0.9144 0.7112
N5 0.7732 0.7732 0.2889
N6 0.9144 0.5706 0.7112

Output
Its total magnetic moment is 0.00 μB per atom. Its space-group type is No. 12. As for the calculated volume: 16.19 A^3/atom. For the formation energy without anion corrections, the calculation gives -1.58 eV per atom.


[8]
## ErPa2PtN5 (PBE)

Data for ErPa2PtN5 after structural relaxation.

abc: 6.7924 6.7924 10.5016
angles: 90.00 90.00 150.47
Atoms (fractional coordinates):
Er1 0.2007 0.7993 0.5000
Er2 0.7993 0.2007 0.0000
Pa1 0.1034 0.8966 0.1805
Pa2 0.1428 0.8572 0.7928
Pa3 0.8572 0.1428 0.2928
Pa4 0.8966 0.1034 0.6805
Pt1 0.4760 0.5240 0.9487
Pt2 0.5240 0.4760 0.4487
N1 0.0498 0.9502 0.5939
N2 0.2763 0.7237 0.1720
N3 0.3256 0.6744 0.8533
N4 0.3710 0.6290 0.4995
N5 0.4810 0.5190 0.2647
N6 0.5190 0.4810 0.7647
N7 0.6290 0.3710 0.9995
N8 0.6744 0.3256 0.3533
N9 0.7237 0.2763 0.6720
N10 0.9502 0.0498 0.0939

Output
Its total magnetic moment is 0.00 μB per atom. Its space-group type is No. 36. As for the calculated volume: 13.27 A^3/atom. For the formation energy without anion corrections, the calculation gives -1.05 eV per atom.


Please write out number 4 again, unchanged.
## Pm2ErPaN4 (PBE)

Data for Pm2ErPaN4 after structural relaxation.

abc: 6.0643 3.5444 6.1493
angles: 90.00 109.08 90.00
Atoms (fractional coordinates):
Pm1 0.0000 0.0000 0.0000
Pm2 0.5000 0.5000 0.0000
Er1 0.0000 0.5000 0.5000
Pa1 0.5000 0.0000 0.5000
N1 0.2536 0.0000 0.7251
N2 0.2648 0.5000 0.2771
N3 0.7352 0.5000 0.7229
N4 0.7464 0.0000 0.2749

Output
Its total magnetic moment is 0.00 μB per atom. Its space-group type is No. 10. As for the calculated volume: 15.61 A^3/atom. For the formation energy without anion corrections, the calculation gives -1.62 eV per atom.